MnCoIr4 | GGA-PBE | relaxed

Output
crystal system	orthorhombic
energy of formation from the pure elements	9	meV per atom
raw total energy	-8.611	eV/atom
space-group type	Pmma (51)

abc: 2.705 7.198 8.505
angles: 90.00 90.00 90.00
Each line ends with the local moment (μB).
Fractional positions:
Mn: 0.000 0.811 0.750  -2.17
Ir: 0.000 0.000 0.000  0.04
Ir: 0.500 0.326 0.027  0.23
Ir: 0.500 0.137 0.750  0.15
Co: 0.000 0.459 0.750  1.74
Ir: 0.000 0.000 0.500  0.04
Ir: 0.500 0.863 0.250  0.15
Co: 0.000 0.541 0.250  1.74
Ir: 0.500 0.326 0.473  0.23
Mn: 0.000 0.189 0.250  -2.17
Ir: 0.500 0.674 0.973  0.23
Ir: 0.500 0.674 0.527  0.23

---

MnCo2Ir | GGA-PBE | relaxed

Output
crystal system	tetragonal
energy of formation from the pure elements	83	meV per atom
raw total energy	-7.977	eV/atom
space-group type	P4/mmm (123)

abc: 2.827 2.827 6.214
angles: 90.00 90.00 90.00
Each line ends with the local moment (μB).
Fractional positions:
Co: 0.000 0.000 0.515  1.57
Co: 0.000 0.000 0.985  1.57
Ir: 0.500 0.500 0.250  0.64
Mn: 0.500 0.500 0.750  3.08

---

Mn2Co2Ir15 | GGA-PBE | relaxed

Output
crystal system	trigonal
energy of formation from the pure elements	428	meV per atom
raw total energy	-8.281	eV/atom
space-group type	R-3m (166)

abc: 6.801 6.801 6.801
angles: 81.42 81.42 81.42
Each line ends with the local moment (μB).
Fractional positions:
Ir: 0.500 0.000 0.000  0.20
Ir: 0.700 0.300 0.000  0.10
Co: 0.279 0.279 0.279  2.12
Ir: 0.300 0.700 0.000  0.10
Ir: 0.000 0.500 0.000  0.20
Ir: 0.000 0.000 0.500  0.20
Ir: 0.000 0.700 0.300  0.10
Ir: 0.643 0.643 0.147  0.15
Ir: 0.643 0.147 0.643  0.15
Co: 0.721 0.721 0.721  2.12
Ir: 0.300 0.000 0.700  0.10
Ir: 0.357 0.357 0.853  0.15
Mn: 0.901 0.901 0.901  3.46
Ir: 0.147 0.643 0.643  0.15
Ir: 0.000 0.300 0.700  0.10
Ir: 0.853 0.357 0.357  0.15
Mn: 0.099 0.099 0.099  3.46
Ir: 0.357 0.853 0.357  0.15
Ir: 0.700 0.000 0.300  0.10

---

> Look up the energy of formation from the pure elements of the third one.

428 meV per atom